## MgIn2Pb (meta-GGA SCAN)

Data for a PBEsol-optimized structure of MgIn2Pb. Values from VASP.

Geometry as Quantum ESPRESSO input:
```
&SYSTEM
  ibrav = 0, nat = 4, ntyp = 3
/
ATOMIC_SPECIES
Pb 207.20 Pb.upf
In 114.82 In.upf
Mg 24.30 Mg.upf
ATOMIC_POSITIONS angstrom
Pb 1.756 -1.070 -1.670
In -0.685 -1.807 -3.766
Mg -0.572 1.124 -1.322
In -1.717 -1.710 -0.711
CELL_PARAMETERS angstrom
-1.145 2.248 -2.644
3.513 -2.139 -3.340
-4.771 -3.626 1.507
```

Summary:
Electronic total energy in eV per atom: -36.89
D(E_F) in states/eV per atom: 0.4620
Total magnetization in μB/atom: 0.000
Crystal system: orthorhombic
ΔH_f (0 K) in eV/atom: -0.01